P | This record from Alexandria describes crystalline PmNd2Tm6 at its relaxed geometry. The functional is PBE.

Geometry as extended XYZ:
```
9
Lattice="-2.0777 -2.7804 -0.6106 7.8082 -5.6498 -0.8427 -4.1761 1.2231 8.6407" Properties=species:S:1:pos:R:3 pbc="T T T"
Pm -1.0388 -1.3902 -0.3053
Nd 3.2690 -4.0875 2.1585
Nd -1.7145 -3.1196 5.0290
Tm 1.7882 -3.4919 5.1203
Tm -1.7672 -0.3396 2.8646
Tm -2.0037 -1.2975 8.0311
Tm -0.2338 -3.7152 2.0671
Tm 3.3217 -6.8675 4.3229
Tm 3.5582 -5.9096 -0.8436
```

N(E_F)	14.5	states/eV per cell

Q | This record from Alexandria describes crystalline PmNd2Tm6 at its relaxed geometry. The functional is PBE.

Geometry as extended XYZ:
```
18
Lattice="-2.5510 3.8908 4.6004 -9.0401 -2.9318 -0.5258 2.1962 -5.2264 7.6457" Properties=species:S:1:pos:R:3 pbc="T T T"
Pm 0.2109 -3.9785 7.8159
Pm -9.6059 -0.2888 3.9044
Nd -4.4108 -4.8156 5.3822
Nd -3.0887 -1.5237 4.4886
Nd -4.9841 0.5483 6.3380
Nd -6.3062 -2.7436 7.2316
Tm -6.5854 -1.4244 4.0800
Tm -8.3222 -0.0322 6.8591
Tm -2.8096 -2.8429 7.6403
Tm -1.0728 -4.2351 4.8612
Tm -1.3736 0.2794 6.8865
Tm -4.7412 -3.5316 10.4470
Tm -8.0214 -4.5467 4.8337
Tm -4.6538 -0.7356 1.2732
Tm -5.7683 -6.0414 8.3502
Tm -0.3925 -0.5713 2.4943
Tm -3.6267 1.7741 3.3700
Tm -9.0025 -3.6960 9.2260
```

N(E_F)	23.1	states/eV per cell

P is the most stable structure; the next one sits 30 meV/atom above it.

P | This record from Alexandria describes crystalline PmNd4Tm7 at its relaxed geometry. The functional is PBE.

Geometry as extended XYZ:
```
12
Lattice="5.8638 0.0000 0.0000 2.9319 11.2725 -0.3094 2.9319 0.2196 6.0508" Properties=species:S:1:pos:R:3 pbc="T T T"
Pm 0.0000 0.0000 0.0000
Nd 5.8638 2.6229 2.9850
Nd 5.8638 8.8692 2.7564
Nd 8.7957 7.6729 4.5057
Nd 2.9319 3.8192 1.2357
Tm 8.7957 10.5169 2.7302
Tm 2.9319 0.9753 3.0112
Tm 2.9319 7.7771 0.8398
Tm 8.7957 3.7151 4.9016
Tm 5.8638 5.7472 4.5062
Tm 2.9319 0.0000 0.0000
Tm 5.8638 5.7449 1.2352
```

N(E_F)	19.4	states/eV per cell

Q | This record from Alexandria describes crystalline PmNd4Tm7 at its relaxed geometry. The functional is PBE.

Geometry as extended XYZ:
```
12
Lattice="-2.1553 2.3398 6.3624 2.6470 -4.0123 6.3724 4.2694 6.1744 9.0609" Properties=species:S:1:pos:R:3 pbc="T T T"
Pm 0.0000 0.0000 0.0000
Nd 2.0958 0.5603 10.4421
Nd 2.6653 3.9416 11.3537
Nd 3.4336 2.5416 16.1137
Nd 1.3274 1.9603 5.6820
Tm 3.9766 5.9131 17.0226
Tm 0.7845 -1.4112 4.7731
Tm 1.5820 5.1334 14.5209
Tm 3.1790 -0.6315 7.2748
Tm 4.5228 1.3557 12.9473
Tm -1.0777 1.1699 3.1812
Tm 0.2382 3.1462 8.8484
```

N(E_F)	16.5	states/eV per cell

Q is the most stable structure; the next one sits 238 meV/atom above it.